Entry from Alexandria: crystalline DyHf2Ta at its relaxed geometry (PBE).

Values from the calculation:
- M_tot (μB per atom) = 0.000
- formation energy (meV/atom) = 250
- excess energy over the best structure of this formula in the dataset (meV/atom) = 80

The structure in POSCAR format:
```
DyHf2Ta
1.0
1.5852 0.9152 10.5577
-1.5852 0.9152 10.5577
0.0000 -1.8304 10.5577
Dy Hf Ta
1 2 1
Cartesian
0.0000 0.0000 0.0000 Dy
0.0000 0.0000 7.6751 Hf
0.0000 0.0000 23.9981 Hf
0.0000 0.0000 15.8366 Ta
```